Record 1
Entry from Alexandria via LeMat-Bulk: a relaxed structure of RbYGa2Br6 (PBE-GGA).

spin magnetization: 0.0 μB/cell
formation energy from raw total energies: -1327 meV/atom

```
RbYGa2Br6
1.0
3.941 2.275 7.071
-3.941 2.275 7.071
0.000 -4.550 7.071
Rb Y Ga Br
1 1 2 6
direct
0.000 0.000 0.000
0.487 0.487 0.487
0.296 0.296 0.296
0.805 0.805 0.805
0.104 0.658 0.440
0.249 0.567 0.853
0.440 0.104 0.658
0.567 0.853 0.249
0.658 0.440 0.104
0.853 0.249 0.567
```

---

Record 2
Entry from Alexandria via LeMat-Bulk: a relaxed structure of Rb2YGaBr (PBE-GGA).

spin magnetization: 1.3 μB/cell
formation energy from raw total energies: 392 meV/atom

```
Rb2YGaBr
1.0
6.993 0.000 0.000
0.000 6.993 0.000
0.000 0.000 5.614
Rb Y Ga Br
2 1 1 1
direct
0.000 0.500 0.000
0.500 0.000 0.000
0.000 0.000 0.500
0.500 0.500 0.000
0.500 0.500 0.500
```

---

Record 3
Entry from Alexandria via LeMat-Bulk: a relaxed structure of RbZnGaBr4 (PBE-GGA).

spin magnetization: 0.0 μB/cell
formation energy from raw total energies: -1042 meV/atom

```
RbZnGaBr4
1.0
7.331 0.000 0.000
0.000 7.522 0.000
-2.333 0.000 9.405
Rb Zn Ga Br
2 2 2 8
direct
0.215 0.250 0.033
0.785 0.750 0.967
0.217 0.750 0.773
0.783 0.250 0.227
0.221 0.250 0.512
0.779 0.750 0.488
0.004 0.501 0.292
0.004 0.999 0.292
0.330 0.750 0.029
0.452 0.750 0.638
0.548 0.250 0.362
0.670 0.250 0.971
0.996 0.001 0.708
0.996 0.499 0.708
```

---

Record 4
Entry from Alexandria via LeMat-Bulk: a relaxed structure of RbZrGa2Br8 (PBE-GGA).

spin magnetization: 0.0 μB/cell
formation energy from raw total energies: -1049 meV/atom

```
RbZrGa2Br8
1.0
6.972 0.000 0.000
0.879 7.066 0.000
0.964 2.015 9.174
Rb Zr Ga Br
1 1 2 8
direct
0.000 0.000 0.000
0.000 0.000 0.500
0.474 0.438 0.226
0.526 0.562 0.774
0.137 0.734 0.730
0.218 0.814 0.318
0.281 0.214 0.503
0.389 0.287 0.008
0.611 0.713 0.992
0.719 0.786 0.497
0.782 0.186 0.682
0.863 0.266 0.270
```

---

Record 5
Entry from Alexandria via LeMat-Bulk: a relaxed structure of GaRe3Br (PBE-GGA).

spin magnetization: 1.7 μB/cell
relative energy among the computed polymorphs: 0 meV per atom
formation energy from raw total energies: 2378 meV/atom

```
GaRe3Br
1.0
4.571 0.000 0.000
0.000 4.571 0.000
0.000 0.000 4.571
Ga Re Br
1 3 1
direct
0.000 0.000 0.000
0.000 0.500 0.500
0.500 0.000 0.500
0.500 0.500 0.000
0.500 0.500 0.500
```

---

Record 6
Entry from Alexandria via LeMat-Bulk: a relaxed structure of GaReSe2Br (PBE-GGA).

spin magnetization: 0.0 μB/cell
relative energy among the computed polymorphs: 0 meV per atom
formation energy from raw total energies: 223 meV/atom

```
GaReSe2Br
1.0
4.825 0.000 0.000
0.000 4.825 0.000
0.000 0.000 5.537
Ga Re Se Br
1 1 2 1
direct
0.000 0.000 0.000
0.500 0.500 0.500
0.000 0.500 0.500
0.500 0.000 0.500
0.500 0.500 0.000
```

---

Record 7
Entry from Alexandria via LeMat-Bulk: a relaxed structure of GaReSe2Br (PBE-GGA).

spin magnetization: 4.7 μB/cell
relative energy among the computed polymorphs: 876 meV per atom
formation energy from raw total energies: 1098 meV/atom

```
GaReSe2Br
1.0
5.038 0.000 0.000
0.000 5.038 0.000
0.000 0.000 4.968
Ga Re Se Br
1 1 2 1
direct
0.000 0.000 0.000
0.500 0.500 0.500
0.000 0.500 0.000
0.500 0.000 0.000
0.000 0.000 0.500
```

---

Record 8
Entry from Alexandria via LeMat-Bulk: a relaxed structure of TiGaReBr2 (PBE-GGA).

spin magnetization: 1.0 μB/cell
formation energy from raw total energies: 1268 meV/atom

```
TiGaReBr2
1.0
5.134 0.000 0.000
0.000 5.134 0.000
0.000 0.000 5.107
Ti Ga Re Br
1 1 1 2
direct
0.000 0.000 0.000
0.500 0.500 0.500
0.500 0.500 0.000
0.000 0.500 0.500
0.500 0.000 0.500
```